Entry from the Alexandria database: crystalline AlTe2I at its relaxed geometry (PBE).

abc: 4.2266 4.2266 26.5977
angles: 90.00 90.00 120.00
Fractional coordinates of all 12 atoms:
Al 0.0000 0.0000 0.0000
Al 0.3333 0.6667 0.6667
Al 0.6667 0.3333 0.3333
Te 0.0000 0.0000 0.3880
Te 0.0000 0.0000 0.6120
Te 0.3333 0.6667 0.0546
Te 0.3333 0.6667 0.2787
Te 0.6667 0.3333 0.7213
Te 0.6667 0.3333 0.9454
I 0.0000 0.0000 0.5000
I 0.3333 0.6667 0.1667
I 0.6667 0.3333 0.8333

Results
Total magnetic moment (μB/f.u.): 0.000
SG: No. 166
Formation energy (no corrections) (kJ/mol of formula units): -82
Calculated volume (Å³/f.u.): 137.16